No. 1
# PBE Rb2PdCl7, relaxed
# E above lowest polymorph = 8 meV per atom
# size of the total moment = 0.00 μB/cell
data_Rb2PdCl7
_chemical_formula_sum 'Rb4 Pd2 Cl14'
_cell_length_a 7.8865
_cell_length_b 7.8865
_cell_length_c 9.0939
_cell_angle_alpha 90.00
_cell_angle_beta 90.00
_cell_angle_gamma 90.00
_symmetry_space_group_name_H-M 'I 4/m m m'
_symmetry_Int_Tables_number 139
_symmetry_space_group_name_Hall '-I 4 2'
loop_
_atom_site_label
_atom_site_fract_x
_atom_site_fract_y
_atom_site_fract_z
Rb1 0.0000 0.5000 0.2500
Pd1 0.0000 0.0000 0.0000
Cl1 0.0000 0.0000 0.2562
Cl2 0.0000 0.0000 0.5000
Cl3 0.2115 0.2115 0.0000

=====

No. 2
# PBE KNaLaTa2, relaxed
# size of the total moment = 1.37 μB/cell
# formation energy = 1.967 eV per atom
data_KNaLaTa2
_chemical_formula_sum 'K1 Na1 La1 Ta2'
_cell_length_a 5.1938
_cell_length_b 5.1938
_cell_length_c 5.2645
_cell_angle_alpha 90.00
_cell_angle_beta 90.00
_cell_angle_gamma 90.00
_symmetry_space_group_name_H-M 'P 4/m m m'
_symmetry_Int_Tables_number 123
_symmetry_space_group_name_Hall '-P 4 2'
loop_
_atom_site_label
_atom_site_fract_x
_atom_site_fract_y
_atom_site_fract_z
K1 0.0000 0.0000 0.0000
Na1 0.0000 0.0000 0.5000
La1 0.5000 0.5000 0.0000
Ta1 0.0000 0.5000 0.5000

=====

No. 3
# PBE LiFeAs, relaxed
# size of the total moment = 4.15 μB/cell
# formation energy = -0.201 eV per atom
data_LiFeAs
_chemical_formula_sum 'Li2 Fe2 As2'
_cell_length_a 4.1957
_cell_length_b 4.1957
_cell_length_c 5.2603
_cell_angle_alpha 90.00
_cell_angle_beta 90.00
_cell_angle_gamma 120.00
_symmetry_space_group_name_H-M 'P 63/m m c'
_symmetry_Int_Tables_number 194
_symmetry_space_group_name_Hall '-P 6c 2c'
loop_
_atom_site_label
_atom_site_fract_x
_atom_site_fract_y
_atom_site_fract_z
Li1 0.0000 0.0000 0.0000
Fe1 0.3333 0.6667 0.2500
As1 0.3333 0.6667 0.7500

=====

No. 4
# PBE Cs2Ta4Se7, relaxed
# size of the total moment = 1.90 μB/cell
# electronic total energy = -79.4 eV for the cell shown
data_Cs2Ta4Se7
_chemical_formula_sum 'Cs2 Ta4 Se7'
_cell_length_a 6.6712
_cell_length_b 6.6712
_cell_length_c 9.4697
_cell_angle_alpha 90.00
_cell_angle_beta 90.00
_cell_angle_gamma 120.00
_symmetry_space_group_name_H-M 'P -3 1 m'
_symmetry_Int_Tables_number 162
_symmetry_space_group_name_Hall '-P 3 2'
loop_
_atom_site_label
_atom_site_fract_x
_atom_site_fract_y
_atom_site_fract_z
Cs1 0.3333 0.6667 0.0000
Ta1 0.0000 0.0000 0.2580
Ta2 0.3333 0.6667 0.5000
Se1 0.0000 0.0000 0.0000
Se2 0.0000 0.3522 0.3383

=====

No. 5
# PBE Ta3BeIr, relaxed
# E above lowest polymorph = 486 meV per atom
# size of the total moment = 0.00 μB/cell
# formation energy = 0.424 eV per atom
data_Ta3BeIr
_chemical_formula_sum 'Ta3 Be1 Ir1'
_cell_length_a 4.3442
_cell_length_b 4.3442
_cell_length_c 4.3442
_cell_angle_alpha 90.00
_cell_angle_beta 90.00
_cell_angle_gamma 90.00
_symmetry_space_group_name_H-M 'P m -3 m'
_symmetry_Int_Tables_number 221
_symmetry_space_group_name_Hall '-P 4 2 3'
loop_
_atom_site_label
_atom_site_fract_x
_atom_site_fract_y
_atom_site_fract_z
Ta1 0.0000 0.0000 0.5000
Be1 0.0000 0.0000 0.0000
Ir1 0.5000 0.5000 0.5000

=====

No. 6
# PBE ScBiSe2, relaxed
# size of the total moment = 0.00 μB/cell
# electronic total energy = -55.0 eV for the cell shown
data_ScBiSe2
_chemical_formula_sum 'Sc3 Bi3 Se6'
_cell_length_a 4.0849
_cell_length_b 4.0849
_cell_length_c 26.1542
_cell_angle_alpha 90.00
_cell_angle_beta 90.00
_cell_angle_gamma 120.00
_symmetry_space_group_name_H-M 'R -3 m'
_symmetry_Int_Tables_number 166
_symmetry_space_group_name_Hall '-R 3 2"'
loop_
_atom_site_label
_atom_site_fract_x
_atom_site_fract_y
_atom_site_fract_z
Sc1 0.0000 0.0000 0.0000
Bi1 0.0000 0.0000 0.5000
Se1 0.0000 0.0000 0.1000

=====

No. 7
# PBE CsCd2Hg, relaxed
# size of the total moment = 0.00 μB/cell
# formation energy = -0.112 eV per atom
data_CsCd2Hg
_chemical_formula_sum 'Cs3 Cd6 Hg3'
_cell_length_a 5.1162
_cell_length_b 5.1162
_cell_length_c 20.1218
_cell_angle_alpha 90.00
_cell_angle_beta 90.00
_cell_angle_gamma 120.00
_symmetry_space_group_name_H-M 'R 3 m'
_symmetry_Int_Tables_number 160
_symmetry_space_group_name_Hall 'R 3 -2"'
loop_
_atom_site_label
_atom_site_fract_x
_atom_site_fract_y
_atom_site_fract_z
Cs1 0.0000 0.0000 0.0000
Cd1 0.0000 0.0000 0.1924
Cd2 0.0000 0.0000 0.5085
Hg1 0.0000 0.0000 0.8043

=====

No. 8
# PBE CoBSeBr2, relaxed
# E above lowest polymorph = 0 meV per atom
# size of the total moment = 1.22 μB/cell
data_CoBSeBr2
_chemical_formula_sum 'Co1 B1 Se1 Br2'
_cell_length_a 5.0548
_cell_length_b 5.0548
_cell_length_c 4.4869
_cell_angle_alpha 90.00
_cell_angle_beta 90.00
_cell_angle_gamma 90.00
_symmetry_space_group_name_H-M 'P 4/m m m'
_symmetry_Int_Tables_number 123
_symmetry_space_group_name_Hall '-P 4 2'
loop_
_atom_site_label
_atom_site_fract_x
_atom_site_fract_y
_atom_site_fract_z
Co1 0.0000 0.0000 0.0000
B1 0.5000 0.5000 0.5000
Se1 0.0000 0.0000 0.5000
Br1 0.0000 0.5000 0.0000

=====

No. 9
# PBE ErBe3Ir, relaxed
# size of the total moment = 0.00 μB/cell
# formation energy = -0.273 eV per atom
data_ErBe3Ir
_chemical_formula_sum 'Er2 Be6 Ir2'
_cell_length_a 5.9955
_cell_length_b 6.0050
_cell_length_c 4.2514
_cell_angle_alpha 90.00
_cell_angle_beta 90.00
_cell_angle_gamma 90.00
_symmetry_space_group_name_H-M 'C m m m'
_symmetry_Int_Tables_number 65
_symmetry_space_group_name_Hall '-C 2 2'
loop_
_atom_site_label
_atom_site_fract_x
_atom_site_fract_y
_atom_site_fract_z
Er1 0.0000 0.0000 0.0000
Be1 0.0000 0.5000 0.0000
Be2 0.2500 0.2500 0.5000
Ir1 0.0000 0.5000 0.5000

=====

No. 10
# PBE CsNaGe2, relaxed
# E above lowest polymorph = 673 meV per atom
# size of the total moment = 0.00 μB/cell
# formation energy = 0.466 eV per atom
data_CsNaGe2
_chemical_formula_sum 'Cs4 Na4 Ge8'
_cell_length_a 7.8919
_cell_length_b 7.8919
_cell_length_c 7.8919
_cell_angle_alpha 90.00
_cell_angle_beta 90.00
_cell_angle_gamma 90.00
_symmetry_space_group_name_H-M 'F m -3 m'
_symmetry_Int_Tables_number 225
_symmetry_space_group_name_Hall '-F 4 2 3'
loop_
_atom_site_label
_atom_site_fract_x
_atom_site_fract_y
_atom_site_fract_z
Cs1 0.0000 0.0000 0.0000
Na1 0.0000 0.0000 0.5000
Ge1 0.2500 0.2500 0.2500

=====

No. 11
# PBE TlCuNiGe2, relaxed
# size of the total moment = 0.00 μB/cell
# formation energy = 0.216 eV per atom
data_TlCuNiGe2
_chemical_formula_sum 'Tl1 Cu1 Ni1 Ge2'
_cell_length_a 4.5248
_cell_length_b 4.5248
_cell_length_c 4.8486
_cell_angle_alpha 90.00
_cell_angle_beta 90.00
_cell_angle_gamma 90.00
_symmetry_space_group_name_H-M 'P 4/m m m'
_symmetry_Int_Tables_number 123
_symmetry_space_group_name_Hall '-P 4 2'
loop_
_atom_site_label
_atom_site_fract_x
_atom_site_fract_y
_atom_site_fract_z
Tl1 0.0000 0.0000 0.0000
Cu1 0.5000 0.5000 0.0000
Ni1 0.5000 0.5000 0.5000
Ge1 0.0000 0.5000 0.5000

=====

No. 12
# PBE TcAs2Ir, relaxed
# E above lowest polymorph = 230 meV per atom
# size of the total moment = 0.00 μB/cell
# formation energy = 0.192 eV per atom
data_TcAs2Ir
_chemical_formula_sum 'Tc4 As8 Ir4'
_cell_length_a 5.5377
_cell_length_b 5.5377
_cell_length_c 11.0048
_cell_angle_alpha 90.00
_cell_angle_beta 90.00
_cell_angle_gamma 90.00
_symmetry_space_group_name_H-M 'I -4 2 d'
_symmetry_Int_Tables_number 122
_symmetry_space_group_name_Hall 'I -4 2bw'
loop_
_atom_site_label
_atom_site_fract_x
_atom_site_fract_y
_atom_site_fract_z
Tc1 0.0000 0.0000 0.0000
As1 0.2503 0.2500 0.1250
Ir1 0.0000 0.0000 0.5000

=====

No. 13
# PBE SmBiAu, relaxed
# size of the total moment = 0.00 μB/cell
# formation energy = -0.569 eV per atom
data_SmBiAu
_chemical_formula_sum 'Sm4 Bi4 Au4'
_cell_length_a 11.5643
_cell_length_b 4.9928
_cell_length_c 6.1749
_cell_angle_alpha 90.00
_cell_angle_beta 90.00
_cell_angle_gamma 90.00
_symmetry_space_group_name_H-M 'P n m a'
_symmetry_Int_Tables_number 62
_symmetry_space_group_name_Hall '-P 2ac 2n'
loop_
_atom_site_label
_atom_site_fract_x
_atom_site_fract_y
_atom_site_fract_z
Sm1 0.1772 0.2500 0.0129
Bi1 0.0738 0.7500 0.7325
Au1 0.0926 0.7500 0.2436

=====

No. 14
# PBE BaY, relaxed
# E above lowest polymorph = 32 meV per atom
# size of the total moment = 0.00 μB/cell
# formation energy = 0.191 eV per atom
data_BaY
_chemical_formula_sum 'Ba8 Y8'
_cell_length_a 13.6342
_cell_length_b 13.6342
_cell_length_c 3.9384
_cell_angle_alpha 90.00
_cell_angle_beta 90.00
_cell_angle_gamma 90.00
_symmetry_space_group_name_H-M 'I 4/m'
_symmetry_Int_Tables_number 87
_symmetry_space_group_name_Hall '-I 4'
loop_
_atom_site_label
_atom_site_fract_x
_atom_site_fract_y
_atom_site_fract_z
Ba1 0.1312 0.8301 0.0000
Y1 0.0437 0.3615 0.5000

=====

No. 15
# PBE Y5InRh4, relaxed
# size of the total moment = 0.00 μB/cell
# formation energy = -0.769 eV per atom
data_Y5InRh4
_chemical_formula_sum 'Y5 In1 Rh4'
_cell_length_a 3.4930
_cell_length_b 3.4930
_cell_length_c 17.7045
_cell_angle_alpha 90.00
_cell_angle_beta 90.00
_cell_angle_gamma 90.00
_symmetry_space_group_name_H-M 'P 4/m m m'
_symmetry_Int_Tables_number 123
_symmetry_space_group_name_Hall '-P 4 2'
loop_
_atom_site_label
_atom_site_fract_x
_atom_site_fract_y
_atom_site_fract_z
Y1 0.0000 0.0000 0.0000
Y2 0.0000 0.0000 0.1905
Y3 0.0000 0.0000 0.3794
In1 0.5000 0.5000 0.5000
Rh1 0.5000 0.5000 0.0952
Rh2 0.5000 0.5000 0.2874

=====

No. 16
# PBE TmLuCdRu, relaxed
# size of the total moment = 0.00 μB/cell
# formation energy = -0.342 eV per atom
data_TmLuCdRu
_chemical_formula_sum 'Tm4 Lu4 Cd4 Ru4'
_cell_length_a 6.9960
_cell_length_b 6.9960
_cell_length_c 6.9960
_cell_angle_alpha 90.00
_cell_angle_beta 90.00
_cell_angle_gamma 90.00
_symmetry_space_group_name_H-M 'F -4 3 m'
_symmetry_Int_Tables_number 216
_symmetry_space_group_name_Hall 'F -4 2 3'
loop_
_atom_site_label
_atom_site_fract_x
_atom_site_fract_y
_atom_site_fract_z
Tm1 0.0000 0.0000 0.0000
Lu1 0.0000 0.0000 0.5000
Cd1 0.2500 0.2500 0.2500
Ru1 0.2500 0.2500 0.7500

=====

No. 17
# PBE NiBiPb3, relaxed
# E above lowest polymorph = 1199 meV per atom
# size of the total moment = 0.00 μB/cell
# formation energy = 1.227 eV per atom
data_NiBiPb3
_chemical_formula_sum 'Ni1 Bi1 Pb3'
_cell_length_a 6.0138
_cell_length_b 6.0138
_cell_length_c 6.0138
_cell_angle_alpha 90.00
_cell_angle_beta 90.00
_cell_angle_gamma 90.00
_symmetry_space_group_name_H-M 'P m -3 m'
_symmetry_Int_Tables_number 221
_symmetry_space_group_name_Hall '-P 4 2 3'
loop_
_atom_site_label
_atom_site_fract_x
_atom_site_fract_y
_atom_site_fract_z
Ni1 0.0000 0.0000 0.0000
Bi1 0.5000 0.5000 0.5000
Pb1 0.0000 0.5000 0.5000

=====

No. 18
# PBE Ag3Os, relaxed
# E above lowest polymorph = 563 meV per atom
# size of the total moment = 3.39 μB/cell
# formation energy = 0.964 eV per atom
data_Ag3Os
_chemical_formula_sum 'Ag6 Os2'
_cell_length_a 5.1912
_cell_length_b 5.1912
_cell_length_c 5.1912
_cell_angle_alpha 90.00
_cell_angle_beta 90.00
_cell_angle_gamma 90.00
_symmetry_space_group_name_H-M 'P m -3 n'
_symmetry_Int_Tables_number 223
_symmetry_space_group_name_Hall '-P 4n 2 3'
loop_
_atom_site_label
_atom_site_fract_x
_atom_site_fract_y
_atom_site_fract_z
Ag1 0.0000 0.2500 0.5000
Os1 0.0000 0.0000 0.0000

=====

No. 19
# PBE Fe2CuBr, relaxed
# E above lowest polymorph = 272 meV per atom
# size of the total moment = 17.86 μB/cell
data_Fe2CuBr
_chemical_formula_sum 'Fe6 Cu3 Br3'
_cell_length_a 3.0146
_cell_length_b 3.0146
_cell_length_c 23.2487
_cell_angle_alpha 90.00
_cell_angle_beta 90.00
_cell_angle_gamma 120.00
_symmetry_space_group_name_H-M 'R -3 m'
_symmetry_Int_Tables_number 166
_symmetry_space_group_name_Hall '-R 3 2"'
loop_
_atom_site_label
_atom_site_fract_x
_atom_site_fract_y
_atom_site_fract_z
Fe1 0.0000 0.0000 0.2467
Cu1 0.0000 0.0000 0.5000
Br1 0.0000 0.0000 0.0000

=====

No. 20
# PBE BaTb2ZnO5, relaxed
# size of the total moment = 0.00 μB/cell
# electronic total energy = -252.0 eV for the cell shown
data_BaTb2ZnO5
_chemical_formula_sum 'Ba4 Tb8 Zn4 O20'
_cell_length_a 12.4926
_cell_length_b 5.7802
_cell_length_c 7.1778
_cell_angle_alpha 90.00
_cell_angle_beta 90.00
_cell_angle_gamma 90.00
_symmetry_space_group_name_H-M 'P n m a'
_symmetry_Int_Tables_number 62
_symmetry_space_group_name_Hall '-P 2ac 2n'
loop_
_atom_site_label
_atom_site_fract_x
_atom_site_fract_y
_atom_site_fract_z
Ba1 0.1012 0.2500 0.0771
Tb1 0.0745 0.7500 0.3995
Tb2 0.2080 0.2500 0.6183
Zn1 0.1499 0.7500 0.8085
O1 0.0661 0.5023 0.6637
O2 0.1000 0.7500 0.0738
O3 0.2247 0.0010 0.3572